Rb2TiFeF6: optimized geometry, PBE+U.

Values from the calculation:
Its total energy is -5.320 eV per atom. As for the calculated volume: 158.1 Å³/f.u.

Cell: 6.0339 6.0339 8.6823 Å, 90.00 90.00 90.00°
With the nearest neighbours (Å) after each atom.
Space group I4/mmm (No. 139)
Unique sites:
1 Rb 0.0000 0.5000 0.2500 x4  12 F 3.02-3.04
2 Ti 0.0000 0.0000 0.0000 x2  6 F 1.96-2.05
3 Fe 0.0000 0.0000 0.5000 x2  6 F 2.21-2.39
4 F 0.0000 0.0000 0.2252 x4  1 Ti 1.96
5 F 0.2407 0.2407 0.0000 x8  1 Ti 2.05, 1 Fe 2.21